Record 1
Density functional theory data (PBE) for crystalline NiAsRu2 at its relaxed geometry.

The structure in POSCAR format:
```
NiAsRu2
1.0
2.828 0.000 0.000
0.000 4.718 0.000
0.000 0.000 8.507
Ni As Ru
2 2 4
direct
0.000 0.000 0.000
0.500 0.500 0.000
0.000 0.500 0.232
0.500 0.000 0.232
0.000 0.000 0.485
0.000 0.500 0.746
0.500 0.000 0.746
0.500 0.500 0.485
```

Properties
- Fermi-level density of states (states/eV per cell) = 11.22
- ΔH_f (0 K) (eV per atom) = 0.419
- calculated density (kg/m³) = 9824

***

Record 2
Density functional theory data (PBE) for crystalline KSiRh2Se at its relaxed geometry.

The structure in POSCAR format:
```
KSiRh2Se
1.0
4.685 0.000 0.000
0.000 4.685 0.000
0.000 0.000 5.538
K Si Rh Se
1 1 2 1
direct
0.000 0.000 0.000
0.500 0.500 0.500
0.000 0.500 0.000
0.500 0.000 0.000
0.000 0.000 0.500
```

Properties
- Fermi-level density of states (states/eV per cell) = 6.27
- ΔE_f (raw) (meV/atom) = 1993
- calculated density (kg/m³) = 4808
- excess energy over the best structure of this formula in the dataset (meV per atom) = 0

***

Record 3
Density functional theory data (PBE) for crystalline Ba3TlPd2 at its relaxed geometry.

The structure in POSCAR format:
```
Ba3TlPd2
1.0
8.823 0.000 0.000
0.000 9.857 0.000
-6.014 0.000 10.060
Ba Tl Pd
12 4 8
direct
0.230 0.250 0.142
0.230 0.250 0.642
0.248 0.536 0.404
0.248 0.536 0.905
0.248 0.964 0.405
0.248 0.964 0.904
0.752 0.036 0.096
0.752 0.036 0.595
0.752 0.464 0.095
0.752 0.464 0.596
0.770 0.750 0.358
0.770 0.750 0.858
0.296 0.750 0.175
0.296 0.750 0.675
0.704 0.250 0.325
0.704 0.250 0.825
0.022 0.250 0.313
0.022 0.250 0.813
0.500 0.000 0.250
0.500 0.000 0.750
0.500 0.500 0.250
0.500 0.500 0.750
0.978 0.750 0.187
0.978 0.750 0.687
```

Properties
- Fermi-level density of states (states/eV per cell) = 15.80
- ΔH_f (0 K) (eV per atom) = -0.416
- calculated density (kg/m³) = 6295

***

Record 4
Density functional theory data (PBE) for crystalline ErGa2Co at its relaxed geometry.

The structure in POSCAR format:
```
ErGa2Co
1.0
14.519 0.000 0.000
0.000 6.844 0.000
0.000 0.000 5.479
Er Ga Co
8 16 8
direct
0.102 0.250 0.237
0.138 0.750 0.465
0.362 0.250 0.965
0.398 0.750 0.737
0.602 0.250 0.263
0.638 0.750 0.035
0.862 0.250 0.535
0.898 0.750 0.763
0.041 0.057 0.752
0.041 0.443 0.752
0.212 0.549 0.947
0.212 0.951 0.947
0.288 0.049 0.447
0.288 0.451 0.447
0.459 0.557 0.252
0.459 0.943 0.252
0.541 0.057 0.748
0.541 0.443 0.748
0.712 0.549 0.553
0.712 0.951 0.553
0.788 0.049 0.053
0.788 0.451 0.053
0.959 0.557 0.248
0.959 0.943 0.248
0.071 0.750 0.993
0.189 0.250 0.707
0.311 0.750 0.207
0.429 0.250 0.493
0.571 0.750 0.507
0.689 0.250 0.793
0.811 0.750 0.293
0.929 0.250 0.007
```

Properties
- Fermi-level density of states (states/eV per cell) = 22.03
- ΔH_f (0 K) (eV per atom) = -0.536
- calculated density (kg/m³) = 8922

***

Record 5
Density functional theory data (PBE) for crystalline SrLi3Hg3 at its relaxed geometry.

The structure in POSCAR format:
```
SrLi3Hg3
1.0
7.256 0.000 0.000
0.000 7.256 0.000
0.000 0.000 7.256
Sr Li Hg
2 6 6
direct
0.000 0.000 0.000
0.500 0.500 0.500
0.000 0.250 0.500
0.000 0.750 0.500
0.250 0.500 0.000
0.500 0.000 0.250
0.500 0.000 0.750
0.750 0.500 0.000
0.000 0.500 0.250
0.000 0.500 0.750
0.250 0.000 0.500
0.500 0.250 0.000
0.500 0.750 0.000
0.750 0.000 0.500
```

Properties
- Fermi-level density of states (states/eV per cell) = 11.82
- ΔH_f (0 K) (eV per atom) = -0.158
- calculated density (kg/m³) = 6175

***

Record 6
Density functional theory data (PBE) for crystalline TlMo2Pb at its relaxed geometry.

The structure in POSCAR format:
```
TlMo2Pb
1.0
4.202 0.000 0.000
0.000 4.202 0.000
0.000 0.000 8.958
Tl Mo Pb
2 4 2
direct
0.000 0.000 0.000
0.500 0.500 0.500
0.000 0.000 0.500
0.000 0.500 0.750
0.500 0.000 0.250
0.500 0.500 0.000
0.000 0.500 0.250
0.500 0.000 0.750
```

Properties
- Fermi-level density of states (states/eV per cell) = 7.35
- ΔH_f (0 K) (eV per atom) = 0.927
- calculated density (kg/m³) = 12671
- excess energy over the best structure of this formula in the dataset (meV per atom) = 516

***

Record 7
Density functional theory data (PBE) for crystalline RbSbIr3 at its relaxed geometry.

The structure in POSCAR format:
```
RbSbIr3
1.0
4.897 0.000 0.000
0.000 4.897 0.000
0.000 0.000 4.897
Rb Sb Ir
1 1 3
direct
0.000 0.000 0.000
0.500 0.500 0.500
0.000 0.000 0.500
0.000 0.500 0.000
0.500 0.000 0.000
```

Properties
- Fermi-level density of states (states/eV per cell) = 5.73
- ΔE_f (raw) (meV/atom) = 2975
- calculated density (kg/m³) = 11084
- excess energy over the best structure of this formula in the dataset (meV per atom) = 1639

***

Record 8
Density functional theory data (PBE) for crystalline Mn2HgAu at its relaxed geometry.

The structure in POSCAR format:
```
Mn2HgAu
1.0
3.188 0.000 0.000
0.000 4.620 0.000
0.000 0.000 9.463
Mn Hg Au
4 2 2
direct
0.000 0.000 0.000
0.000 0.500 0.253
0.500 0.000 0.753
0.500 0.500 0.500
0.000 0.000 0.498
0.500 0.500 0.998
0.000 0.500 0.737
0.500 0.000 0.237
```

Properties
- Fermi-level density of states (states/eV per cell) = 6.33
- ΔH_f (0 K) (eV per atom) = 0.240
- calculated density (kg/m³) = 12091